[1]
Compound: AgH6N
Source: Alexandria via LeMat-Bulk
Functional: PBE
Structure: relaxed

```
data_AgH6N
_cell_length_a 3.1067
_cell_length_b 3.1067
_cell_length_c 21.2502
_cell_angle_alpha 90.00
_cell_angle_beta 90.00
_cell_angle_gamma 120.00
_symmetry_space_group_name_H-M 'R -3 m'
_symmetry_Int_Tables_number 166
_symmetry_space_group_name_Hall '-R 3 2"'
loop_
_atom_site_label
_atom_site_fract_x
_atom_site_fract_y
_atom_site_fract_z
Ag1 0.0000 0.0000 0.0000
H1 0.0742 0.5371 0.8687
N1 0.0000 0.0000 0.5000
```

Results
DOS at the Fermi energy	0.1967	states/eV/atom
energy	-78.31	eV per cell

[2]
Compound: YEr5Cd3
Source: Alexandria via LeMat-Bulk
Functional: PBE
Structure: relaxed

```
data_YEr5Cd3
_cell_length_a 9.0992
_cell_length_b 9.0992
_cell_length_c 6.8952
_cell_angle_alpha 90.00
_cell_angle_beta 90.00
_cell_angle_gamma 120.00
_symmetry_space_group_name_H-M 'P 63/m c m'
_symmetry_Int_Tables_number 193
_symmetry_space_group_name_Hall '-P 6c 2'
loop_
_atom_site_label
_atom_site_fract_x
_atom_site_fract_y
_atom_site_fract_z
Y1 0.0000 0.0000 0.0000
Er1 0.0000 0.3350 0.2500
Er2 0.3333 0.6667 0.0000
Cd1 0.0000 0.3325 0.7500
```

Results
DOS at the Fermi energy	0.5011	states/eV/atom
ΔE_f	-0.19	eV/atom

[3]
Compound: Na2CaNi
Source: Alexandria via LeMat-Bulk
Functional: PBE
Structure: relaxed

```
data_Na2CaNi
_cell_length_a 7.3148
_cell_length_b 7.3148
_cell_length_c 7.3148
_cell_angle_alpha 90.00
_cell_angle_beta 90.00
_cell_angle_gamma 90.00
_symmetry_space_group_name_H-M 'F m -3 m'
_symmetry_Int_Tables_number 225
_symmetry_space_group_name_Hall '-F 4 2 3'
loop_
_atom_site_label
_atom_site_fract_x
_atom_site_fract_y
_atom_site_fract_z
Na1 0.2500 0.2500 0.2500
Ca1 0.0000 0.0000 0.0000
Ni1 0.0000 0.0000 0.5000
```

Results
ΔE to the lowest computed polymorph	83	meV per atom
DOS at the Fermi energy	0.4962	states/eV/atom
ΔE_f	0.40	eV/atom

[4]
Compound: Pr4HoTm3
Source: Alexandria via LeMat-Bulk
Functional: PBE
Structure: relaxed

```
data_Pr4HoTm3
_cell_length_a 11.5778
_cell_length_b 7.3380
_cell_length_c 6.2984
_cell_angle_alpha 90.00
_cell_angle_beta 90.00
_cell_angle_gamma 90.00
_symmetry_space_group_name_H-M 'P m n 21'
_symmetry_Int_Tables_number 31
loop_
_symmetry_equiv_pos_as_xyz
'x,y,z'
'-x+1/2,-y,z+1/2'
'-x,y,z'
'x+1/2,-y,z+1/2'
loop_
_atom_site_label
_atom_site_fract_x
_atom_site_fract_y
_atom_site_fract_z
Pr1 0.0000 0.1297 0.0000
Pr2 0.0000 0.8693 0.5086
Pr3 0.2471 0.1293 0.3441
Ho1 0.0000 0.6207 0.0097
Tm1 0.0000 0.3833 0.5071
Tm2 0.2497 0.3816 0.8411
```

Results
DOS at the Fermi energy	1.8423	states/eV/atom
ΔE_f	0.03	eV/atom

Which value of DOS at the Fermi energy does entry 2 give?
0.5011 states/eV/atom